1.
TlAgOs2: relaxed, GGA-PBEsol. Values from VASP.

The structure in Quantum ESPRESSO input format:
```
&SYSTEM
  ibrav = 0, nat = 4, ntyp = 3
/
ATOMIC_SPECIES
Tl 204.38 Tl.upf
Ag 107.87 Ag.upf
Os 190.23 Os.upf
ATOMIC_POSITIONS crystal
Tl 0.0000 0.0000 0.0000
Ag 0.2463 0.2463 0.7228
Os 0.4962 0.4962 0.4577
Os 0.7380 0.7380 0.3053
CELL_PARAMETERS angstrom
4.0486 -1.3928 0.0000
4.0486 1.3928 0.0000
-1.2190 0.0000 6.4990
```

Computed properties:
space-group type = No. 8
density of states at the Fermi level = 0.649 states/eV per atom
energy of formation from the pure elements = 0.786 eV per atom
relative energy among the computed polymorphs = 0 meV/atom



2.
Sr4ZrSb: relaxed, GGA-PBEsol. Values from VASP.

The structure in Quantum ESPRESSO input format:
```
&SYSTEM
  ibrav = 0, nat = 6, ntyp = 3
/
ATOMIC_SPECIES
Sr 87.62 Sr.upf
Zr 91.22 Zr.upf
Sb 121.76 Sb.upf
ATOMIC_POSITIONS crystal
Sr 0.1249 0.1249 0.1249
Sr 0.1249 0.1249 0.6254
Sr 0.1249 0.6254 0.1249
Sr 0.6254 0.1249 0.1249
Zr 0.5000 0.5000 0.5000
Sb 0.7500 0.7500 0.7500
CELL_PARAMETERS angstrom
0.0000 4.7745 4.7745
4.7745 0.0000 4.7745
4.7745 4.7745 0.0000
```

Computed properties:
space-group type = No. 216
density of states at the Fermi level = 1.205 states/eV per atom
formation energy without anion corrections = 0.56 eV per atom



3.
ReP3W: relaxed, GGA-PBEsol. Values from VASP.

The structure in Quantum ESPRESSO input format:
```
&SYSTEM
  ibrav = 0, nat = 5, ntyp = 3
/
ATOMIC_SPECIES
Re 186.21 Re.upf
P 30.97 P.upf
W 183.84 W.upf
ATOMIC_POSITIONS crystal
Re 0.0000 0.0000 0.0000
P 0.0000 0.0000 0.5000
P 0.0000 0.5000 0.0000
P 0.5000 0.0000 0.0000
W 0.5000 0.5000 0.5000
CELL_PARAMETERS angstrom
4.5475 0.0000 0.0000
0.0000 4.5475 0.0000
0.0000 0.0000 4.5475
```

Computed properties:
space-group type = No. 221
density of states at the Fermi level = 0.655 states/eV per atom
energy of formation from the pure elements = 1.428 eV per atom



> Number 2 is which compound?

Sr4ZrSb



> Among the records above, which one has the lowest density of states at the Fermi level?

TlAgOs2



> Among the records above, which one has the highest density of states at the Fermi level?

Sr4ZrSb



> Among the records above, which one has the highest density of states at the Fermi level?

Sr4ZrSb